A plane-wave DFT calculation with PBE-GGA was carried out for an optimized crystal structure of Sc2Ti2Pb2N.

abc: 8.1139 8.1139 8.1139
angles: 149.75 149.75 43.30
Closest atoms and distances in Å follow each position.
Fractional coordinates of all 7 atoms:
1 Sc 0.1498 0.1498 0.0000  1 N 2.26
2 Sc 0.8502 0.8502 0.0000  1 N 2.26
3 Ti 0.0000 0.5000 0.5000  2 N 2.12
4 Ti 0.5000 0.0000 0.5000  2 N 2.12
5 Pb 0.3553 0.3553 0.0000  5 Sc 2.99-3.10, 4 Ti 3.04
6 Pb 0.6447 0.6447 0.0000  5 Sc 2.99-3.10, 4 Ti 3.04
7 N 0.0000 0.0000 0.0000  4 Ti 2.12, 2 Sc 2.26

Results
Its spin magnetization is 0.001 μB/f.u. For the total energy, the calculation gives -49.62 eV/f.u. The calculation puts the density of states at the Fermi level at 0.840 states/eV/atom. As for the space-group type: I4/mmm (139). The calculated volume comes out at 135.2 Å³ per cell.